Computed, not measured: an optimized crystal structure of PmV2SbO8 at the PBE+U level of DFT.

As for the theoretical density: 4.78 Mg/m³. As for the total energy: -7.434 eV/atom. The value obtained for the spin magnetization is 0.0 Bohr magnetons per cell. For the density of states at the Fermi level, the calculation gives 0.0 states/eV/cell.

The structure belongs to space group I-4m2 (No. 119); the cell edges are 7.3208, 7.3208 and 6.4426 Å and the angles 90.00°, 90.00° and 90.00°. The asymmetric unit holds Pm at (0.0000, 0.0000, 0.0000), V at (0.0000, 0.0000, 0.5000), V at (0.0000, 0.5000, 0.7500), Sb at (0.0000, 0.5000, 0.2500), O at (0.0000, 0.1839, 0.3275) and O at (0.0000, 0.3195, 0.9266).